No. 1
First-principles (PBE) data for a relaxed structure of B3PO, as listed in Alexandria via LeMat-Bulk. Values from VASP.

Values from the calculation:
distance to the lowest polymorph of the same formula = 0.082 eV per atom

```
&SYSTEM
  ibrav = 0, nat = 5, ntyp = 3
/
ATOMIC_SPECIES
B 10.81 B.upf
P 30.97 P.upf
O 16.00 O.upf
ATOMIC_POSITIONS angstrom
B 0.000 0.000 1.775
B 0.000 1.775 0.000
B 1.775 0.000 0.000
P 1.775 1.775 1.775
O 0.000 0.000 0.000
CELL_PARAMETERS angstrom
3.550 0.000 0.000
0.000 3.550 0.000
0.000 0.000 3.550
```

No. 2
First-principles (PBE) data for a relaxed structure of BPO3, as listed in Alexandria via LeMat-Bulk. Values from VASP.

Values from the calculation:
total energy = -5.54 eV per atom

```
&SYSTEM
  ibrav = 0, nat = 5, ntyp = 3
/
ATOMIC_SPECIES
B 10.81 B.upf
P 30.97 P.upf
O 16.00 O.upf
ATOMIC_POSITIONS angstrom
B 0.000 0.000 0.000
P 1.703 1.703 1.703
O 0.000 1.703 1.703
O 1.703 0.000 1.703
O 1.703 1.703 0.000
CELL_PARAMETERS angstrom
3.405 0.000 0.000
0.000 3.405 0.000
0.000 0.000 3.405
```

No. 3
First-principles (PBE) data for a relaxed structure of B2PO6, as listed in Alexandria via LeMat-Bulk. Values from VASP.

Values from the calculation:
distance to the lowest polymorph of the same formula = 0.335 eV per atom

```
&SYSTEM
  ibrav = 0, nat = 18, ntyp = 3
/
ATOMIC_SPECIES
B 10.81 B.upf
P 30.97 P.upf
O 16.00 O.upf
ATOMIC_POSITIONS angstrom
B -0.818 0.489 2.980
B -2.901 1.712 7.783
B 3.916 2.690 1.823
B 1.833 3.913 6.627
P 2.590 0.000 0.000
P 0.507 2.201 4.803
O -2.981 3.091 7.670
O -0.899 3.512 2.867
O -0.389 0.933 4.207
O -2.472 1.268 9.010
O -0.579 2.461 5.858
O 1.504 4.142 1.055
O -0.489 0.260 8.552
O 1.593 1.941 3.748
O 3.486 3.134 0.597
O 1.404 3.470 5.400
O 1.913 0.890 6.740
O 3.996 1.311 1.937
CELL_PARAMETERS angstrom
5.180 0.000 0.000
0.000 4.402 0.000
-4.166 0.000 9.606
```

No. 4
First-principles (PBE) data for a relaxed structure of BP2O8, as listed in Alexandria via LeMat-Bulk. Values from VASP.

Values from the calculation:
total energy = -6.52 eV per atom

```
&SYSTEM
  ibrav = 0, nat = 11, ntyp = 3
/
ATOMIC_SPECIES
B 10.81 B.upf
P 30.97 P.upf
O 16.00 O.upf
ATOMIC_POSITIONS angstrom
B 0.000 0.000 0.000
P 1.022 0.000 1.990
P 5.158 0.000 2.644
O 1.805 3.155 3.643
O 0.711 0.000 3.422
O 4.375 3.155 0.991
O 2.736 0.000 1.722
O 3.444 0.000 2.912
O 1.805 -3.155 3.643
O 5.469 0.000 1.212
O 4.375 -3.155 0.991
CELL_PARAMETERS angstrom
3.809 -4.272 0.000
3.809 4.272 0.000
-1.439 0.000 4.634
```